Entry 1:
! Na2AsPb (PBE, optimized geometry); values from VASP
! SG: P4/mmm (123)
! Calculated total energy (eV for the cell shown): -11.537
! N(E_F) (states/eV/f.u.): 2.5
&SYSTEM
  ibrav = 0, nat = 4, ntyp = 3
/
ATOMIC_SPECIES
Pb 207.20 Pb.upf
Na 22.99 Na.upf
As 74.92 As.upf
CELL_PARAMETERS angstrom
-3.2101 1.2249 1.4521
-1.8770 -2.4848 -2.0534
0.5630 -4.7993 5.2929
ATOMIC_POSITIONS crystal
Pb 0.5000 0.5000 0.0000
Na 0.0000 0.0000 0.2858
Na 0.0000 0.0000 0.7142
As 0.5000 0.5000 0.5000

***

Entry 2:
! LuIn3 (PBE, optimized geometry); values from VASP
! SG: I4/mmm (139)
! Calculated total energy (eV for the cell shown): -13.834
! N(E_F) (states/eV/f.u.): 2.5
&SYSTEM
  ibrav = 0, nat = 4, ntyp = 2
/
ATOMIC_SPECIES
In 114.82 In.upf
Lu 174.97 Lu.upf
CELL_PARAMETERS angstrom
-2.1672 1.9555 3.3978
-2.9862 -3.3389 0.0168
5.3796 -1.7989 1.5138
ATOMIC_POSITIONS crystal
In 0.7500 0.2500 0.5000
In 0.2500 0.7500 0.5000
In 0.5000 0.5000 0.0000
Lu 0.0000 0.0000 0.0000

***

Entry 3:
! Ti6Co16Si7 (PBE, optimized geometry); values from VASP
! SG: Fm-3m (225)
! Calculated total energy (eV for the cell shown): -216.945
! ΔE_f (raw) (meV per atom): -618
! N(E_F) (states/eV/f.u.): 32.8
&SYSTEM
  ibrav = 0, nat = 29, ntyp = 3
/
ATOMIC_SPECIES
Si 28.09 Si.upf
Co 58.93 Co.upf
Ti 47.87 Ti.upf
CELL_PARAMETERS angstrom
-6.8494 -3.8362 0.0103
-0.2296 -7.6178 1.8832
-3.2178 -2.2692 6.7917
ATOMIC_POSITIONS crystal
Si 0.0000 0.5000 0.5000
Si 0.5000 0.0000 0.0000
Si 0.5000 0.0000 0.5000
Si 0.0000 0.0000 0.5000
Si 0.0000 0.5000 0.0000
Si 0.5000 0.5000 0.0000
Si 0.5000 0.5000 0.5000
Co 0.8334 0.8334 0.4999
Co 0.6192 0.6192 0.6192
Co 0.1666 0.1666 0.5001
Co 0.1423 0.6192 0.6192
Co 0.8577 0.3808 0.3808
Co 0.1666 0.1666 0.1666
Co 0.3808 0.3808 0.8577
Co 0.8334 0.8334 0.8334
Co 0.4999 0.8334 0.8334
Co 0.5001 0.1666 0.1666
Co 0.1666 0.5001 0.1666
Co 0.6192 0.6192 0.1423
Co 0.6192 0.1423 0.6192
Co 0.8334 0.4999 0.8334
Co 0.3808 0.3808 0.3808
Co 0.3808 0.8577 0.3808
Ti 0.7998 0.2002 0.2002
Ti 0.2002 0.7998 0.7998
Ti 0.2002 0.2002 0.7998
Ti 0.7998 0.2002 0.7998
Ti 0.2002 0.7998 0.2002
Ti 0.7998 0.7998 0.2002

***

Entry 4:
! PuBe2F8 (PBE, optimized geometry); values from VASP
! SG: C2/c (15)
! Calculated total energy (eV for the cell shown): -145.440
! ΔE_f (raw) (meV per atom): -3270
! N(E_F) (states/eV/f.u.): 5.1
&SYSTEM
  ibrav = 0, nat = 22, ntyp = 3
/
ATOMIC_SPECIES
Be 9.01 Be.upf
F 19.00 F.upf
Pu 244.00 Pu.upf
CELL_PARAMETERS angstrom
6.0924 0.0000 2.6889
2.8795 5.6709 1.7221
-0.3130 -0.7495 8.9557
ATOMIC_POSITIONS crystal
Be 0.3728 0.3133 0.4249
Be 0.6272 0.6867 0.5751
Be 0.8890 0.8133 0.9249
Be 0.1110 0.1867 0.0751
F 0.8764 0.2686 0.0229
F 0.3047 0.1367 0.9007
F 0.2938 0.5336 0.3173
F 0.8553 0.0336 0.8173
F 0.1236 0.7314 0.9771
F 0.7062 0.4664 0.6827
F 0.0859 0.3827 0.1642
F 0.1447 0.9664 0.1827
F 0.6953 0.8633 0.0993
F 0.1679 0.2314 0.4771
F 0.6328 0.1173 0.3358
F 0.3421 0.3633 0.5993
F 0.3672 0.8827 0.6642
F 0.9141 0.6173 0.8358
F 0.6579 0.6367 0.4007
F 0.8321 0.7686 0.5229
Pu 0.0514 0.2500 0.7500
Pu 0.9486 0.7500 0.2500

***

Entry 5:
! InNiSn3 (PBE, optimized geometry); values from VASP
! SG: Pm-3m (221)
! Calculated total energy (eV for the cell shown): -14.813
! N(E_F) (states/eV/f.u.): 6.6
&SYSTEM
  ibrav = 0, nat = 5, ntyp = 3
/
ATOMIC_SPECIES
Sn 118.71 Sn.upf
In 114.82 In.upf
Ni 58.69 Ni.upf
CELL_PARAMETERS angstrom
-1.5229 4.7632 -2.3936
-4.8733 -0.2350 2.6329
2.1606 2.8272 4.2515
ATOMIC_POSITIONS crystal
Sn 0.0000 0.0000 0.5000
Sn 0.0000 0.5000 0.0000
Sn 0.5000 0.0000 0.0000
In 0.0000 0.0000 0.0000
Ni 0.5000 0.5000 0.5000

***

Entry 6:
! YSn3Rh (PBE, optimized geometry); values from VASP
! SG: Pm-3m (221)
! Calculated total energy (eV for the cell shown): -20.229
! N(E_F) (states/eV/f.u.): 7.9
&SYSTEM
  ibrav = 0, nat = 5, ntyp = 3
/
ATOMIC_SPECIES
Y 88.91 Y.upf
Rh 102.91 Rh.upf
Sn 118.71 Sn.upf
CELL_PARAMETERS angstrom
-2.9907 0.3490 4.7672
-2.0188 -5.1895 -0.8865
4.3328 -2.1771 2.8776
ATOMIC_POSITIONS crystal
Y 0.0000 0.0000 0.0000
Rh 0.5000 0.5000 0.5000
Sn 0.0000 0.0000 0.5000
Sn 0.5000 0.0000 0.0000
Sn 0.0000 0.5000 0.0000

***

Entry 7:
! VCoAgRu2 (PBE, optimized geometry); values from VASP
! SG: P4/mmm (123)
! Calculated total energy (eV for the cell shown): -30.334
! N(E_F) (states/eV/f.u.): 10.0
&SYSTEM
  ibrav = 0, nat = 5, ntyp = 4
/
ATOMIC_SPECIES
V 50.94 V.upf
Ag 107.87 Ag.upf
Ru 101.07 Ru.upf
Co 58.93 Co.upf
CELL_PARAMETERS angstrom
4.3464 0.0000 0.0000
0.0000 4.5746 0.0000
0.0000 0.0000 4.3464
ATOMIC_POSITIONS crystal
V 0.5000 0.5000 0.5000
Ag 0.0000 0.5000 0.0000
Ru 0.5000 0.0000 0.0000
Ru 0.0000 0.0000 0.5000
Co 0.0000 0.0000 0.0000

***

Entry 8:
! NaEuCdPd (PBE, optimized geometry); values from VASP
! SG: F-43m (216)
! Calculated total energy (eV for the cell shown): -18.825
! N(E_F) (states/eV/f.u.): 10.1
&SYSTEM
  ibrav = 0, nat = 4, ntyp = 4
/
ATOMIC_SPECIES
Na 22.99 Na.upf
Cd 112.41 Cd.upf
Eu 151.96 Eu.upf
Pd 106.42 Pd.upf
CELL_PARAMETERS angstrom
5.0933 0.0000 0.0000
2.5467 4.4110 0.0000
2.5467 1.4703 4.1587
ATOMIC_POSITIONS crystal
Na 0.0000 0.0000 0.0000
Cd 0.2500 0.2500 0.2500
Eu 0.7500 0.7500 0.7500
Pd 0.5000 0.5000 0.5000

***

Entry 9:
! MnCd2Re (PBE, optimized geometry); values from VASP
! SG: C2/m (12)
! Calculated total energy (eV for the cell shown): -21.257
! N(E_F) (states/eV/f.u.): 2.7
&SYSTEM
  ibrav = 0, nat = 4, ntyp = 3
/
ATOMIC_SPECIES
Mn 54.94 Mn.upf
Cd 112.41 Cd.upf
Re 186.21 Re.upf
CELL_PARAMETERS angstrom
-1.2484 2.4888 -4.7645
-3.9027 -2.8741 2.6383
-1.5520 2.0632 0.9382
ATOMIC_POSITIONS crystal
Mn 0.5000 0.0000 0.5000
Cd 0.5000 0.5000 0.0000
Cd 0.0000 0.0000 0.0000
Re 0.0000 0.5000 0.5000

***

Entry 10:
! GeBr3F (PBE, optimized geometry); values from VASP
! SG: Pm-3m (221)
! Calculated total energy (eV for the cell shown): -12.040
! ΔE_f (raw) (meV per atom): -107
! N(E_F) (states/eV/f.u.): 14.9
&SYSTEM
  ibrav = 0, nat = 5, ntyp = 3
/
ATOMIC_SPECIES
Br 79.90 Br.upf
F 19.00 F.upf
Ge 72.64 Ge.upf
CELL_PARAMETERS angstrom
5.1909 0.0000 0.0000
0.0000 5.1909 0.0000
0.0000 0.0000 5.1909
ATOMIC_POSITIONS crystal
Br 0.0000 0.5000 0.0000
Br 0.0000 0.0000 0.5000
Br 0.5000 0.0000 0.0000
F 0.5000 0.5000 0.5000
Ge 0.0000 0.0000 0.0000

***

Entry 11:
! Y2MgBeTe (PBE, optimized geometry); values from VASP
! SG: P4/mmm (123)
! Calculated total energy (eV for the cell shown): -17.052
! ΔE_f (raw) (meV per atom): 868
! N(E_F) (states/eV/f.u.): 3.7
&SYSTEM
  ibrav = 0, nat = 5, ntyp = 4
/
ATOMIC_SPECIES
Mg 24.30 Mg.upf
Y 88.91 Y.upf
Be 9.01 Be.upf
Te 127.60 Te.upf
CELL_PARAMETERS angstrom
5.5688 0.0000 0.0000
0.0000 5.1837 0.0000
0.0000 0.0000 5.5688
ATOMIC_POSITIONS crystal
Mg 0.0000 0.0000 0.0000
Y 0.5000 0.0000 0.0000
Y 0.0000 0.0000 0.5000
Be 0.5000 0.5000 0.5000
Te 0.0000 0.5000 0.0000

***

Entry 12:
! TcWI2 (PBE, optimized geometry); values from VASP
! SG: Fm-3m (225)
! Calculated total energy (eV for the cell shown): -20.924
! ΔE_f (raw) (meV per atom): 1374
! N(E_F) (states/eV/f.u.): 5.2
&SYSTEM
  ibrav = 0, nat = 4, ntyp = 3
/
ATOMIC_SPECIES
I 126.90 I.upf
Tc 98.00 Tc.upf
W 183.84 W.upf
CELL_PARAMETERS angstrom
0.0000 3.3671 3.3671
3.3671 0.0000 3.3671
3.3671 3.3671 0.0000
ATOMIC_POSITIONS crystal
I 0.7500 0.7500 0.7500
I 0.2500 0.2500 0.2500
Tc 0.0000 0.0000 0.0000
W 0.5000 0.5000 0.5000

***

Entry 13:
! Zn2CrRh (PBE, optimized geometry); values from VASP
! SG: R-3m (166)
! Calculated total energy (eV for the cell shown): -19.189
! N(E_F) (states/eV/f.u.): 4.0
&SYSTEM
  ibrav = 0, nat = 4, ntyp = 3
/
ATOMIC_SPECIES
Cr 52.00 Cr.upf
Rh 102.91 Rh.upf
Zn 65.41 Zn.upf
CELL_PARAMETERS angstrom
8.6701 -0.0052 -0.0031
8.2447 2.6824 -0.0031
8.2447 1.3049 2.3436
ATOMIC_POSITIONS crystal
Cr 0.2500 0.2500 0.2500
Rh 0.7500 0.7500 0.7500
Zn 0.4999 0.4999 0.4999
Zn 0.0001 0.0001 0.0001

***

Entry 14:
! Pr5Al4Zn (PBE, optimized geometry); values from VASP
! SG: P4/mmm (123)
! Calculated total energy (eV for the cell shown): -43.408
! N(E_F) (states/eV/f.u.): 7.2
&SYSTEM
  ibrav = 0, nat = 10, ntyp = 3
/
ATOMIC_SPECIES
Al 26.98 Al.upf
Pr 140.91 Pr.upf
Zn 65.41 Zn.upf
CELL_PARAMETERS angstrom
-2.6153 -2.1976 1.5082
1.1575 -2.8398 -2.1306
12.1727 -5.1956 13.5383
ATOMIC_POSITIONS crystal
Al 0.0000 0.0000 0.3997
Al 0.0000 0.0000 0.1971
Al 0.0000 0.0000 0.8029
Al 0.0000 0.0000 0.6003
Pr 0.5000 0.5000 0.2990
Pr 0.5000 0.5000 0.9025
Pr 0.5000 0.5000 0.0975
Pr 0.5000 0.5000 0.5000
Pr 0.5000 0.5000 0.7010
Zn 0.0000 0.0000 0.0000

***

Entry 15:
! La5Pm6 (PBE, optimized geometry); values from VASP
! SG: C2/m (12)
! Calculated total energy (eV for the cell shown): -51.779
! N(E_F) (states/eV/f.u.): 17.0
&SYSTEM
  ibrav = 0, nat = 11, ntyp = 2
/
ATOMIC_SPECIES
La 138.91 La.upf
Pm 145.00 Pm.upf
CELL_PARAMETERS angstrom
5.6328 0.0003 1.5228
2.8167 8.3728 0.7622
3.4946 0.0010 9.4165
ATOMIC_POSITIONS crystal
La 0.3107 0.3785 0.0000
La 0.5000 0.0000 0.5000
La 0.8313 0.3374 0.5000
La 0.1687 0.6626 0.5000
La 0.6893 0.6215 0.0000
Pm 0.0804 0.2657 0.7873
Pm 0.7174 0.0000 0.7839
Pm 0.3460 0.7343 0.7873
Pm 0.9196 0.7343 0.2127
Pm 0.6540 0.2657 0.2127
Pm 0.2826 0.0000 0.2161

***

Entry 16:
! TeC3 (PBE, optimized geometry); values from VASP
! SG: Cmcm (63)
! Calculated total energy (eV for the cell shown): -50.204
! ΔE_f (raw) (meV per atom): 1428
! N(E_F) (states/eV/f.u.): 2.4
&SYSTEM
  ibrav = 0, nat = 8, ntyp = 2
/
ATOMIC_SPECIES
C 12.01 C.upf
Te 127.60 Te.upf
CELL_PARAMETERS angstrom
2.8187 -4.4900 0.0000
2.8187 4.4900 0.0000
0.0000 0.0000 8.0464
ATOMIC_POSITIONS crystal
C 0.7835 0.2165 0.2500
C 0.9909 0.4659 0.2500
C 0.4659 0.9909 0.7500
C 0.0091 0.5341 0.7500
C 0.2165 0.7835 0.7500
C 0.5341 0.0091 0.2500
Te 0.4105 0.5895 0.2500
Te 0.5895 0.4105 0.7500

***

Entry 17:
! Tb2PrSmY5 (PBE, optimized geometry); values from VASP
! SG: I4/mcm (140)
! Calculated total energy (eV for the cell shown): -97.505
! N(E_F) (states/eV/f.u.): 10.9
&SYSTEM
  ibrav = 0, nat = 18, ntyp = 4
/
ATOMIC_SPECIES
Y 88.91 Y.upf
Pr 140.91 Pr.upf
Sm 150.36 Sm.upf
Tb 158.93 Tb.upf
CELL_PARAMETERS angstrom
8.8769 0.0000 0.0000
0.0000 8.8769 0.0000
-4.4385 -4.4385 7.5749
ATOMIC_POSITIONS crystal
Y 0.4284 0.3381 0.2665
Y 0.8381 0.9284 0.2665
Y 0.3381 0.8381 0.2665
Y 0.9284 0.4284 0.2665
Y 0.0716 0.5716 0.7335
Y 0.0000 0.0000 0.0000
Y 0.5716 0.6619 0.7335
Y 0.6619 0.1619 0.7335
Y 0.5000 0.5000 0.0000
Y 0.1619 0.0716 0.7335
Pr 0.2500 0.2500 0.5000
Pr 0.7500 0.7500 0.5000
Sm 0.7500 0.2500 0.5000
Sm 0.2500 0.7500 0.5000
Tb 0.3854 0.8854 0.0000
Tb 0.8854 0.6146 0.0000
Tb 0.6146 0.1146 0.0000
Tb 0.1146 0.3854 0.0000

***

Entry 18:
! TbTh2Bi4 (PBE, optimized geometry); values from VASP
! SG: Cmcm (63)
! Calculated total energy (eV for the cell shown): -75.510
! N(E_F) (states/eV/f.u.): 4.8
&SYSTEM
  ibrav = 0, nat = 14, ntyp = 3
/
ATOMIC_SPECIES
Bi 208.98 Bi.upf
Th 232.04 Th.upf
Tb 158.93 Tb.upf
CELL_PARAMETERS angstrom
4.5195 0.0000 0.0000
-2.2597 7.6027 0.0000
0.0000 0.0000 14.8213
ATOMIC_POSITIONS crystal
Bi 0.9679 0.9357 0.7500
Bi 0.7722 0.5444 0.3654
Bi 0.2278 0.4556 0.6346
Bi 0.2278 0.4556 0.8654
Bi 0.0321 0.0643 0.2500
Bi 0.7722 0.5444 0.1346
Bi 0.5000 0.0000 0.5000
Bi 0.5000 0.0000 0.0000
Th 0.8639 0.7278 0.9346
Th 0.1361 0.2722 0.0654
Th 0.1361 0.2722 0.4346
Th 0.8639 0.7278 0.5654
Tb 0.6153 0.2305 0.7500
Tb 0.3847 0.7695 0.2500

***

Entry 19:
! YZn2Ni (PBE, optimized geometry); values from VASP
! SG: Immm (71)
! Calculated total energy (eV for the cell shown): -15.678
! N(E_F) (states/eV/f.u.): 1.9
&SYSTEM
  ibrav = 0, nat = 4, ntyp = 3
/
ATOMIC_SPECIES
Ni 58.69 Ni.upf
Zn 65.41 Zn.upf
Y 88.91 Y.upf
CELL_PARAMETERS angstrom
-2.9062 -0.1540 -3.9653
-2.7655 -4.0229 0.6016
0.7917 3.9794 2.7805
ATOMIC_POSITIONS crystal
Ni 0.7500 0.2500 0.5000
Zn 0.9787 0.9787 0.0000
Zn 0.5213 0.5213 0.0000
Y 0.2500 0.7500 0.5000

***

Entry 20:
! HgBiPPt2 (PBE, optimized geometry); values from VASP
! SG: P4/mmm (123)
! Calculated total energy (eV for the cell shown): -15.022
! N(E_F) (states/eV/f.u.): 4.1
&SYSTEM
  ibrav = 0, nat = 5, ntyp = 4
/
ATOMIC_SPECIES
Hg 200.59 Hg.upf
P 30.97 P.upf
Pt 195.08 Pt.upf
Bi 208.98 Bi.upf
CELL_PARAMETERS angstrom
5.1473 0.0000 0.0000
0.0000 5.6324 0.0000
0.0000 0.0000 5.1473
ATOMIC_POSITIONS crystal
Hg 0.0000 0.5000 0.0000
P 0.5000 0.5000 0.5000
Pt 0.5000 0.0000 0.0000
Pt 0.0000 0.0000 0.5000
Bi 0.0000 0.0000 0.0000

***

Entry 21:
! PmPuGa4 (PBE, optimized geometry); values from VASP
! SG: Immm (71)
! Calculated total energy (eV for the cell shown): -34.168
! N(E_F) (states/eV/f.u.): 11.0
&SYSTEM
  ibrav = 0, nat = 6, ntyp = 3
/
ATOMIC_SPECIES
Pu 244.00 Pu.upf
Ga 69.72 Ga.upf
Pm 145.00 Pm.upf
CELL_PARAMETERS angstrom
3.9955 0.0000 1.9203
1.8567 5.3678 1.2536
-0.3304 -0.1842 5.8043
ATOMIC_POSITIONS crystal
Pu 0.0000 0.5000 0.0000
Ga 0.6670 0.0871 0.0789
Ga 0.3330 0.4215 0.4124
Ga 0.3330 0.9129 0.9211
Ga 0.6670 0.5785 0.5876
Pm 0.0000 0.0000 0.5000

***

Entry 22:
! Hf2CrCo (PBE, optimized geometry); values from VASP
! SG: Fm-3m (225)
! Calculated total energy (eV for the cell shown): -37.075
! N(E_F) (states/eV/f.u.): 5.0
&SYSTEM
  ibrav = 0, nat = 4, ntyp = 3
/
ATOMIC_SPECIES
Hf 178.49 Hf.upf
Co 58.93 Co.upf
Cr 52.00 Cr.upf
CELL_PARAMETERS angstrom
0.0000 3.1735 3.1735
3.1735 0.0000 3.1735
3.1735 3.1735 0.0000
ATOMIC_POSITIONS crystal
Hf 0.2500 0.2500 0.2500
Hf 0.7500 0.7500 0.7500
Co 0.5000 0.5000 0.5000
Cr 0.0000 0.0000 0.0000

***

Entry 23:
! Sm2SnC (PBE, optimized geometry); values from VASP
! SG: R-3m (166)
! Calculated total energy (eV for the cell shown): -19.655
! N(E_F) (states/eV/f.u.): 4.9
&SYSTEM
  ibrav = 0, nat = 4, ntyp = 3
/
ATOMIC_SPECIES
C 12.01 C.upf
Sm 150.36 Sm.upf
Sn 118.71 Sn.upf
CELL_PARAMETERS angstrom
-2.8804 -2.0267 -2.9770
-2.4754 -3.6616 1.3160
-7.6183 2.9018 1.8237
ATOMIC_POSITIONS crystal
C 0.0000 0.0000 0.0000
Sm 0.9060 0.9060 0.2819
Sm 0.0940 0.0940 0.7181
Sn 0.5000 0.5000 0.5000

***

Entry 24:
! Cr4BC (PBE, optimized geometry); values from VASP
! SG: P2_1/c (14)
! Calculated total energy (eV for the cell shown): -109.091
! N(E_F) (states/eV/f.u.): 4.9
&SYSTEM
  ibrav = 0, nat = 12, ntyp = 3
/
ATOMIC_SPECIES
C 12.01 C.upf
Cr 52.00 Cr.upf
B 10.81 B.upf
CELL_PARAMETERS angstrom
-4.3314 2.7890 0.2190
-1.7361 -2.9644 3.4151
2.7570 2.2520 3.3563
ATOMIC_POSITIONS crystal
C 0.5000 0.0000 0.5000
C 0.0000 0.5000 0.5000
Cr 0.3756 0.8571 0.1334
Cr 0.8224 0.1405 0.3899
Cr 0.6776 0.6405 0.6101
Cr 0.1244 0.3571 0.8666
Cr 0.3224 0.3595 0.3899
Cr 0.1776 0.8595 0.6101
Cr 0.8756 0.6429 0.1334
Cr 0.6244 0.1429 0.8666
B 0.0000 0.0000 0.0000
B 0.5000 0.5000 0.0000

***

Entry 25:
! B2IrOs (PBE, optimized geometry); values from VASP
! SG: Fm-3m (225)
! Calculated total energy (eV for the cell shown): -32.616
! N(E_F) (states/eV/f.u.): 1.9
&SYSTEM
  ibrav = 0, nat = 4, ntyp = 3
/
ATOMIC_SPECIES
Os 190.23 Os.upf
B 10.81 B.upf
Ir 192.22 Ir.upf
CELL_PARAMETERS angstrom
0.0000 2.7339 2.7339
2.7339 0.0000 2.7339
2.7339 2.7339 0.0000
ATOMIC_POSITIONS crystal
Os 0.0000 0.0000 0.0000
B 0.2500 0.2500 0.2500
B 0.7500 0.7500 0.7500
Ir 0.5000 0.5000 0.5000